Entry 1:
# Ti4Cr2Ge5

An optimized crystal structure of Ti4Cr2Ge5 (GGA-PBE, the Alexandria database).

The structure in CIF format:
```
data_Ti4Cr2Ge5
_space_group_name_H-M_alt 'I b a m'
_space_group_IT_number 72
_space_group_name_Hall '-I 2 2c'
_cell_length_a 7.8482
_cell_length_b 16.5411
_cell_length_c 5.0450
_cell_angle_alpha 90.00
_cell_angle_beta 90.00
_cell_angle_gamma 90.00
loop_
_atom_site_label
_atom_site_type_symbol
_atom_site_fract_x
_atom_site_fract_y
_atom_site_fract_z
Ti1 Ti 0.1046 0.1436 0.0000
Ti2 Ti 0.2388 0.4357 0.0000
Cr1 Cr 0.0000 0.3074 0.2500
Ge1 Ge 0.0000 0.0000 0.2500
Ge2 Ge 0.0979 0.4277 0.5000
Ge3 Ge 0.2028 0.2144 0.5000
```

The calculation puts the density of states at the Fermi level at 31.0 states/eV per cell. Its final energy is -7.2084 eV/atom. Its formation energy is -47.2 kJ/mol of atoms. As for the energy above the lowest structure with this stoichiometry: 0.0 meV per atom.

Entry 2:
# TiCr3Ge

An optimized crystal structure of TiCr3Ge (GGA-PBE, the Alexandria database).

The structure in CIF format:
```
data_TiCr3Ge
_space_group_name_H-M_alt 'P m -3 m'
_space_group_IT_number 221
_space_group_name_Hall '-P 4 2 3'
_cell_length_a 4.4741
_cell_length_b 4.4741
_cell_length_c 4.4741
_cell_angle_alpha 90.00
_cell_angle_beta 90.00
_cell_angle_gamma 90.00
loop_
_atom_site_label
_atom_site_type_symbol
_atom_site_fract_x
_atom_site_fract_y
_atom_site_fract_z
Ti1 Ti 0.0000 0.0000 0.0000
Cr1 Cr 0.0000 0.5000 0.5000
Ge1 Ge 0.5000 0.5000 0.5000
```

The calculation puts the density of states at the Fermi level at 6.7 states/eV per cell. Its final energy is -7.2395 eV/atom. Its formation energy is 100.1 kJ/mol of atoms. As for the energy above the lowest structure with this stoichiometry: 0.0 meV per atom.

Entry 3:
# TiCrGe

An optimized crystal structure of TiCrGe (GGA-PBE, the Alexandria database).

The structure in CIF format:
```
data_TiCrGe
_space_group_name_H-M_alt 'I 4 m m'
_space_group_IT_number 107
_space_group_name_Hall 'I 4 -2'
_cell_length_a 3.2108
_cell_length_b 3.2108
_cell_length_c 8.2070
_cell_angle_alpha 90.00
_cell_angle_beta 90.00
_cell_angle_gamma 90.00
loop_
_atom_site_label
_atom_site_type_symbol
_atom_site_fract_x
_atom_site_fract_y
_atom_site_fract_z
Ti1 Ti 0.0000 0.0000 0.0000
Cr1 Cr 0.0000 0.0000 0.3384
Ge1 Ge 0.0000 0.0000 0.6788
```

The calculation puts the density of states at the Fermi level at 3.4 states/eV per cell. Its final energy is -7.6576 eV/atom. Its formation energy is -26.9 kJ/mol of atoms.

Entry 4:
# Ti2CrGe

An optimized crystal structure of Ti2CrGe (GGA-PBE, the Alexandria database).

The structure in CIF format:
```
data_Ti2CrGe
_space_group_name_H-M_alt 'I -4 2 d'
_space_group_IT_number 122
_space_group_name_Hall 'I -4 2bw'
_cell_length_a 6.9544
_cell_length_b 6.9544
_cell_length_c 5.1737
_cell_angle_alpha 90.00
_cell_angle_beta 90.00
_cell_angle_gamma 90.00
loop_
_atom_site_label
_atom_site_type_symbol
_atom_site_fract_x
_atom_site_fract_y
_atom_site_fract_z
Ti1 Ti 0.2223 0.2500 0.1250
Cr1 Cr 0.0000 0.0000 0.0000
Ge1 Ge 0.0000 0.0000 0.5000
```

The calculation puts the density of states at the Fermi level at 19.1 states/eV per cell. Its final energy is -7.2590 eV/atom. Its formation energy is 24.0 kJ/mol of atoms.

Entry 5:
# Ti3CrGe

An optimized crystal structure of Ti3CrGe (GGA-PBE, the Alexandria database).

The structure in CIF format:
```
data_Ti3CrGe
_space_group_name_H-M_alt 'P m -3 m'
_space_group_IT_number 221
_space_group_name_Hall '-P 4 2 3'
_cell_length_a 4.4753
_cell_length_b 4.4753
_cell_length_c 4.4753
_cell_angle_alpha 90.00
_cell_angle_beta 90.00
_cell_angle_gamma 90.00
loop_
_atom_site_label
_atom_site_type_symbol
_atom_site_fract_x
_atom_site_fract_y
_atom_site_fract_z
Ti1 Ti 0.0000 0.0000 0.5000
Cr1 Cr 0.0000 0.0000 0.0000
Ge1 Ge 0.5000 0.5000 0.5000
```

The calculation puts the density of states at the Fermi level at 13.2 states/eV per cell. Its final energy is -7.0951 eV/atom. Its formation energy is 47.3 kJ/mol of atoms. As for the energy above the lowest structure with this stoichiometry: 0.0 meV per atom.

Entry 6:
# TiCrGe2

An optimized crystal structure of TiCrGe2 (GGA-PBE, the Alexandria database).

The structure in CIF format:
```
data_TiCrGe2
_space_group_name_H-M_alt 'R -3 m'
_space_group_IT_number 166
_space_group_name_Hall '-R 3 2"'
_cell_length_a 4.0428
_cell_length_b 4.0428
_cell_length_c 13.3300
_cell_angle_alpha 90.00
_cell_angle_beta 90.00
_cell_angle_gamma 120.00
loop_
_atom_site_label
_atom_site_type_symbol
_atom_site_fract_x
_atom_site_fract_y
_atom_site_fract_z
Ti1 Ti 0.0000 0.0000 0.0000
Cr1 Cr 0.0000 0.0000 0.5000
Ge1 Ge 0.0000 0.0000 0.2401
```

The calculation puts the density of states at the Fermi level at 8.5 states/eV per cell. Its final energy is -6.8322 eV/atom. Its formation energy is -13.9 kJ/mol of atoms. As for the energy above the lowest structure with this stoichiometry: 0.0 meV per atom.

Entry 7:
# TiCr2Ge2

An optimized crystal structure of TiCr2Ge2 (GGA-PBE, the Alexandria database).

The structure in CIF format:
```
data_TiCr2Ge2
_space_group_name_H-M_alt 'P 4/m b m'
_space_group_IT_number 127
_space_group_name_Hall '-P 4 2ab'
_cell_length_a 6.8622
_cell_length_b 6.8622
_cell_length_c 3.0202
_cell_angle_alpha 90.00
_cell_angle_beta 90.00
_cell_angle_gamma 90.00
loop_
_atom_site_label
_atom_site_type_symbol
_atom_site_fract_x
_atom_site_fract_y
_atom_site_fract_z
Ti1 Ti 0.0000 0.0000 0.0000
Cr1 Cr 0.1520 0.3480 0.5000
Ge1 Ge 0.1433 0.6433 0.0000
```

The calculation puts the density of states at the Fermi level at 9.5 states/eV per cell. Its final energy is -7.3732 eV/atom. Its formation energy is -9.4 kJ/mol of atoms.

Entry 8:
# Ti3CrGe

An optimized crystal structure of Ti3CrGe (GGA-PBE, the Alexandria database).

The structure in CIF format:
```
data_Ti3CrGe
_space_group_name_H-M_alt 'P m -3 m'
_space_group_IT_number 221
_space_group_name_Hall '-P 4 2 3'
_cell_length_a 4.6286
_cell_length_b 4.6286
_cell_length_c 4.6286
_cell_angle_alpha 90.00
_cell_angle_beta 90.00
_cell_angle_gamma 90.00
loop_
_atom_site_label
_atom_site_type_symbol
_atom_site_fract_x
_atom_site_fract_y
_atom_site_fract_z
Ti1 Ti 0.0000 0.0000 0.5000
Cr1 Cr 0.5000 0.5000 0.5000
Ge1 Ge 0.0000 0.0000 0.0000
```

The calculation puts the density of states at the Fermi level at 4.4 states/eV per cell. Its final energy is -6.6761 eV/atom. Its formation energy is 87.7 kJ/mol of atoms. As for the energy above the lowest structure with this stoichiometry: 419.0 meV per atom.

Entry 9:
# Ti12CrGe6

An optimized crystal structure of Ti12CrGe6 (GGA-PBE, the Alexandria database).

The structure in CIF format:
```
data_Ti12CrGe6
_space_group_name_H-M_alt 'R -3'
_space_group_IT_number 148
_space_group_name_Hall '-R 3'
_cell_length_a 10.9208
_cell_length_b 10.9208
_cell_length_c 10.0518
_cell_angle_alpha 90.00
_cell_angle_beta 90.00
_cell_angle_gamma 120.00
loop_
_atom_site_label
_atom_site_type_symbol
_atom_site_fract_x
_atom_site_fract_y
_atom_site_fract_z
Ti1 Ti 0.0298 0.8410 0.3859
Ti2 Ti 0.0691 0.8717 0.8742
Cr1 Cr 0.0000 0.0000 0.0000
Ge1 Ge 0.0453 0.7577 0.6353
```

The calculation puts the density of states at the Fermi level at 62.4 states/eV per cell. Its final energy is -7.0606 eV/atom. Its formation energy is -10.6 kJ/mol of atoms.

Entry 10:
# Ti2CrGe

An optimized crystal structure of Ti2CrGe (GGA-PBE, the Alexandria database).

The structure in CIF format:
```
data_Ti2CrGe
_space_group_name_H-M_alt 'R -3 m'
_space_group_IT_number 166
_space_group_name_Hall '-R 3 2"'
_cell_length_a 2.9785
_cell_length_b 2.9785
_cell_length_c 24.2331
_cell_angle_alpha 90.00
_cell_angle_beta 90.00
_cell_angle_gamma 120.00
loop_
_atom_site_label
_atom_site_type_symbol
_atom_site_fract_x
_atom_site_fract_y
_atom_site_fract_z
Ti1 Ti 0.0000 0.0000 0.2427
Cr1 Cr 0.0000 0.0000 0.5000
Ge1 Ge 0.0000 0.0000 0.0000
```

The calculation puts the density of states at the Fermi level at 8.8 states/eV per cell. Its final energy is -7.5624 eV/atom. Its formation energy is -5.3 kJ/mol of atoms.

Entry 11:
# TiCr3Ge

An optimized crystal structure of TiCr3Ge (GGA-PBE, the Alexandria database).

The structure in CIF format:
```
data_TiCr3Ge
_space_group_name_H-M_alt 'P m -3 m'
_space_group_IT_number 221
_space_group_name_Hall '-P 4 2 3'
_cell_length_a 4.4606
_cell_length_b 4.4606
_cell_length_c 4.4606
_cell_angle_alpha 90.00
_cell_angle_beta 90.00
_cell_angle_gamma 90.00
loop_
_atom_site_label
_atom_site_type_symbol
_atom_site_fract_x
_atom_site_fract_y
_atom_site_fract_z
Ti1 Ti 0.0000 0.0000 0.0000
Cr1 Cr 0.0000 0.0000 0.5000
Ge1 Ge 0.5000 0.5000 0.5000
```

The calculation puts the density of states at the Fermi level at 5.4 states/eV per cell. Its final energy is -6.8810 eV/atom. Its formation energy is 134.6 kJ/mol of atoms. As for the energy above the lowest structure with this stoichiometry: 358.5 meV per atom.

Entry 12:
# Ti2CrGe6

An optimized crystal structure of Ti2CrGe6 (GGA-PBE, the Alexandria database).

The structure in CIF format:
```
data_Ti2CrGe6
_space_group_name_H-M_alt 'C 2 2 2'
_space_group_IT_number 21
_space_group_name_Hall 'C 2 2'
_cell_length_a 4.8727
_cell_length_b 8.4874
_cell_length_c 6.7106
_cell_angle_alpha 90.00
_cell_angle_beta 90.00
_cell_angle_gamma 90.00
loop_
_atom_site_label
_atom_site_type_symbol
_atom_site_fract_x
_atom_site_fract_y
_atom_site_fract_z
Ti1 Ti 0.2500 0.2500 0.1636
Cr1 Cr 0.0000 0.0000 0.5000
Ge1 Ge 0.0000 0.3293 0.5000
Ge2 Ge 0.2481 0.4194 0.8273
```

The calculation puts the density of states at the Fermi level at 8.1 states/eV per cell. Its final energy is -6.1497 eV/atom. Its formation energy is -23.9 kJ/mol of atoms.

> Which formula does entry 8 have?

Ti3CrGe

> The lowest final energy belongs to which entry?

TiCrGe

> Among the records above, which one has the highest final energy?

Ti2CrGe6